(1)
## Ca3As2Pd (PBE)

Data for a relaxed structure of Ca3As2Pd.

Properties
- ΔE_f: -1072 meV/atom
- Total DFT energy (no corrections): -4.49 eV/atom
- Volume: 24.5 A^3/atom
- Space group: No. 62

CIF file:
```
data_Ca3As2Pd
_chemical_formula_sum 'Ca12 As8 Pd4'
_cell_length_a 11.698
_cell_length_b 4.365
_cell_length_c 11.526
_cell_angle_alpha 90.00
_cell_angle_beta 90.00
_cell_angle_gamma 90.00
_symmetry_space_group_name_H-M 'P 1'
_symmetry_Int_Tables_number 1
_symmetry_space_group_name_Hall 'P 1'
loop_
_atom_site_label
_atom_site_type_symbol
_atom_site_fract_x
_atom_site_fract_y
_atom_site_fract_z
Ca1 Ca 0.053 0.250 0.124
Ca2 Ca 0.120 0.750 0.554
Ca3 Ca 0.216 0.250 0.808
Ca4 Ca 0.284 0.750 0.308
Ca5 Ca 0.380 0.250 0.054
Ca6 Ca 0.447 0.750 0.624
Ca7 Ca 0.553 0.250 0.376
Ca8 Ca 0.620 0.750 0.946
Ca9 Ca 0.716 0.250 0.692
Ca10 Ca 0.784 0.750 0.192
Ca11 Ca 0.880 0.250 0.446
Ca12 Ca 0.947 0.750 0.876
As1 As 0.012 0.750 0.310
As2 As 0.189 0.750 0.997
As3 As 0.311 0.250 0.497
As4 As 0.488 0.250 0.810
As5 As 0.512 0.750 0.190
As6 As 0.689 0.750 0.503
As7 As 0.811 0.250 0.003
As8 As 0.988 0.250 0.690
Pd1 Pd 0.128 0.250 0.368
Pd2 Pd 0.372 0.750 0.868
Pd3 Pd 0.628 0.250 0.132
Pd4 Pd 0.872 0.750 0.632
```



(2)
## NpGaTe3 (PBE)

Data for a relaxed structure of NpGaTe3.

Properties
- Total DFT energy (no corrections): -5.41 eV/atom
- Volume: 37.4 A^3/atom
- Space group: No. 62
- Uncorrected formation energy: -0.33 eV/atom

CIF file:
```
data_NpGaTe3
_chemical_formula_sum 'Np4 Ga4 Te12'
_cell_length_a 8.422
_cell_length_b 11.941
_cell_length_c 7.445
_cell_angle_alpha 90.00
_cell_angle_beta 90.00
_cell_angle_gamma 90.00
_symmetry_space_group_name_H-M 'P 1'
_symmetry_Int_Tables_number 1
_symmetry_space_group_name_Hall 'P 1'
loop_
_atom_site_label
_atom_site_type_symbol
_atom_site_fract_x
_atom_site_fract_y
_atom_site_fract_z
Np1 Np 0.000 0.000 0.000
Np2 Np 0.000 0.500 0.000
Np3 Np 0.500 0.000 0.500
Np4 Np 0.500 0.500 0.500
Ga1 Ga 0.179 0.250 0.456
Ga2 Ga 0.321 0.750 0.956
Ga3 Ga 0.679 0.250 0.044
Ga4 Ga 0.821 0.750 0.544
Te1 Te 0.009 0.250 0.139
Te2 Te 0.178 0.066 0.655
Te3 Te 0.178 0.434 0.655
Te4 Te 0.322 0.566 0.155
Te5 Te 0.322 0.934 0.155
Te6 Te 0.491 0.750 0.639
Te7 Te 0.509 0.250 0.361
Te8 Te 0.678 0.066 0.845
Te9 Te 0.678 0.434 0.845
Te10 Te 0.822 0.566 0.345
Te11 Te 0.822 0.934 0.345
Te12 Te 0.991 0.750 0.861
```



(3)
## Na4U3TcN8 (PBE)

Data for a relaxed structure of Na4U3TcN8.

Properties
- Total DFT energy (no corrections): -8.06 eV/atom
- Volume: 14.1 A^3/atom
- Space group: No. 166
- Uncorrected formation energy: -0.80 eV/atom

CIF file:
```
data_Na4U3TcN8
_chemical_formula_sum 'Na4 U3 Tc1 N8'
_cell_length_a 6.896
_cell_length_b 6.896
_cell_length_c 6.896
_cell_angle_alpha 58.75
_cell_angle_beta 58.75
_cell_angle_gamma 58.75
_symmetry_space_group_name_H-M 'P 1'
_symmetry_Int_Tables_number 1
_symmetry_space_group_name_Hall 'P 1'
loop_
_atom_site_label
_atom_site_type_symbol
_atom_site_fract_x
_atom_site_fract_y
_atom_site_fract_z
Na1 Na 0.000 0.000 0.000
Na2 Na 0.000 0.500 0.500
Na3 Na 0.500 0.000 0.500
Na4 Na 0.500 0.500 0.000
U1 U 0.000 0.000 0.500
U2 U 0.000 0.500 0.000
U3 U 0.500 0.000 0.000
Tc1 Tc 0.500 0.500 0.500
N1 N 0.223 0.732 0.732
N2 N 0.230 0.230 0.230
N3 N 0.268 0.268 0.777
N4 N 0.268 0.777 0.268
N5 N 0.732 0.223 0.732
N6 N 0.732 0.732 0.223
N7 N 0.770 0.770 0.770
N8 N 0.777 0.268 0.268
```



(4)
## KMnTl2Cl5 (PBE)

Data for a relaxed structure of KMnTl2Cl5.

Properties
- Total DFT energy (no corrections): -3.90 eV/atom
- Volume: 32.4 A^3/atom
- Space group: No. 36
- Uncorrected formation energy: -1.21 eV/atom

CIF file:
```
data_KMnTl2Cl5
_chemical_formula_sum 'K2 Mn2 Tl4 Cl10'
_cell_length_a 8.926
_cell_length_b 8.926
_cell_length_c 16.435
_cell_angle_alpha 90.00
_cell_angle_beta 90.00
_cell_angle_gamma 153.53
_symmetry_space_group_name_H-M 'P 1'
_symmetry_Int_Tables_number 1
_symmetry_space_group_name_Hall 'P 1'
loop_
_atom_site_label
_atom_site_type_symbol
_atom_site_fract_x
_atom_site_fract_y
_atom_site_fract_z
K1 K 0.049 0.951 0.500
K2 K 0.951 0.049 0.000
Mn1 Mn 0.256 0.744 0.091
Mn2 Mn 0.744 0.256 0.591
Tl1 Tl 0.343 0.657 0.321
Tl2 Tl 0.435 0.565 0.712
Tl3 Tl 0.565 0.435 0.212
Tl4 Tl 0.657 0.343 0.821
Cl1 Cl 0.024 0.976 0.833
Cl2 Cl 0.116 0.884 0.076
Cl3 Cl 0.228 0.772 0.492
Cl4 Cl 0.256 0.744 0.701
Cl5 Cl 0.395 0.605 0.124
Cl6 Cl 0.605 0.395 0.624
Cl7 Cl 0.744 0.256 0.201
Cl8 Cl 0.772 0.228 0.992
Cl9 Cl 0.884 0.116 0.576
Cl10 Cl 0.976 0.024 0.333
```



(5)
## KSbOs2 (PBE)

Data for a relaxed structure of KSbOs2.

Properties
- Total DFT energy (no corrections): -5.67 eV/atom
- Volume: 20.2 A^3/atom
- Space group: No. 65
- Uncorrected formation energy: 1.25 eV/atom

CIF file:
```
data_KSbOs2
_chemical_formula_sum 'K2 Sb2 Os4'
_cell_length_a 3.226
_cell_length_b 5.137
_cell_length_c 9.772
_cell_angle_alpha 90.00
_cell_angle_beta 90.00
_cell_angle_gamma 90.00
_symmetry_space_group_name_H-M 'P 1'
_symmetry_Int_Tables_number 1
_symmetry_space_group_name_Hall 'P 1'
loop_
_atom_site_label
_atom_site_type_symbol
_atom_site_fract_x
_atom_site_fract_y
_atom_site_fract_z
K1 K 0.000 0.000 0.000
K2 K 0.500 0.500 0.000
Sb1 Sb 0.000 0.000 0.500
Sb2 Sb 0.500 0.500 0.500
Os1 Os 0.000 0.500 0.294
Os2 Os 0.000 0.500 0.706
Os3 Os 0.500 0.000 0.294
Os4 Os 0.500 0.000 0.706
```



(6)
## ZnIrW2 (PBE)

Data for a relaxed structure of ZnIrW2.

Properties
- ΔE_f: 11 meV/atom
- Total DFT energy (no corrections): -9.00 eV/atom
- Volume: 15.1 A^3/atom
- Space group: No. 10

CIF file:
```
data_ZnIrW2
_chemical_formula_sum 'Zn1 Ir1 W2'
_cell_length_a 2.747
_cell_length_b 4.084
_cell_length_c 5.374
_cell_angle_alpha 90.00
_cell_angle_beta 90.21
_cell_angle_gamma 90.00
_symmetry_space_group_name_H-M 'P 1'
_symmetry_Int_Tables_number 1
_symmetry_space_group_name_Hall 'P 1'
loop_
_atom_site_label
_atom_site_type_symbol
_atom_site_fract_x
_atom_site_fract_y
_atom_site_fract_z
Zn1 Zn 0.000 0.000 0.000
Ir1 Ir 0.000 0.000 0.500
W1 W 0.499 0.500 0.246
W2 W 0.501 0.500 0.754
```